# 1
An optimized crystal structure of TbTaSe2, computed with PBE.

Summary:
- Calculated total energy: -25.81 eV for the cell shown
- Space-group type: R-3m

a = 3.5034 Å, b = 3.5034 Å, c = 9.3921 Å
α = 79.25°, β = 79.25°, γ = 60.00°
Element x y z (fractional)
Tb 0.0000 0.0000 0.0000
Se 0.1053 0.1053 0.6842
Se 0.8947 0.8947 0.3158
Ta 0.5000 0.5000 0.5000

=====

# 2
An optimized crystal structure of CaHo2Pd2, computed with PBE.

Summary:
- Space-group type: P4/mbm
- Calculated formation energy: -0.7082 eV per atom
- E above lowest polymorph: 0 meV/atom

a = 3.8006 Å, b = 7.9786 Å, c = 7.9786 Å
α = 90.00°, β = 90.00°, γ = 90.00°
Element x y z (fractional)
Ca 0.5000 0.5000 0.0000
Ca 0.5000 0.0000 0.5000
Ho 0.0000 0.6580 0.3420
Ho 0.0000 0.8420 0.8420
Ho 0.0000 0.1580 0.1580
Ho 0.0000 0.3420 0.6580
Pd 0.5000 0.3671 0.3671
Pd 0.5000 0.8671 0.1329
Pd 0.5000 0.1329 0.8671
Pd 0.5000 0.6329 0.6329